An optimized crystal structure of UReOs, computed with PBE-GGA.

Structure (CIF):
```
data_UReOs
_chemical_formula_sum 'U1 Re1 Os1'
_space_group_name_H-M_alt 'P 1'
_space_group_IT_number 1
_space_group_name_Hall 'P 1'
_cell_length_a 2.809
_cell_length_b 2.809
_cell_length_c 7.454
_cell_angle_alpha 90.00
_cell_angle_beta 90.00
_cell_angle_gamma 120.00
loop_
_atom_site_label
_atom_site_type_symbol
_atom_site_fract_x
_atom_site_fract_y
_atom_site_fract_z
U1 U 0.000 0.000 0.000
Re1 Re 0.667 0.333 0.364
Os1 Os 0.333 0.667 0.645
```

space group: P3m1, No. 156
V: 16.98 A^3/atom
raw total energy: -11.4419 eV per atom

An optimized crystal structure of UReOs, computed with PBE-GGA.

Structure (CIF):
```
data_UReOs
_chemical_formula_sum 'U1 Re1 Os1'
_space_group_name_H-M_alt 'P 1'
_space_group_IT_number 1
_space_group_name_Hall 'P 1'
_cell_length_a 6.556
_cell_length_b 6.556
_cell_length_c 6.556
_cell_angle_alpha 154.51
_cell_angle_beta 154.51
_cell_angle_gamma 36.35
loop_
_atom_site_label
_atom_site_type_symbol
_atom_site_fract_x
_atom_site_fract_y
_atom_site_fract_z
U1 U 0.000 0.000 0.000
Re1 Re 0.685 0.685 0.000
Os1 Os 0.317 0.317 0.000
```

space group: I4mm, No. 107
V: 17.36 A^3/atom
raw total energy: -11.5821 eV per atom

An optimized crystal structure of U6ReOs2, computed with PBE-GGA.

Structure (CIF):
```
data_U6ReOs2
_chemical_formula_sum 'U6 Re1 Os2'
_space_group_name_H-M_alt 'P 1'
_space_group_IT_number 1
_space_group_name_Hall 'P 1'
_cell_length_a 8.270
_cell_length_b 8.270
_cell_length_c 2.747
_cell_angle_alpha 90.10
_cell_angle_beta 90.10
_cell_angle_gamma 59.96
loop_
_atom_site_label
_atom_site_type_symbol
_atom_site_fract_x
_atom_site_fract_y
_atom_site_fract_z
U1 U 0.163 0.500 0.001
U2 U 0.163 0.837 0.000
U3 U 0.500 0.163 0.001
U4 U 0.500 0.837 0.999
U5 U 0.837 0.163 0.000
U6 U 0.837 0.500 0.999
Re1 Re 0.500 0.500 0.500
Os1 Os 0.167 0.167 0.647
Os2 Os 0.833 0.833 0.353
```

space group: C2/m, No. 12
V: 18.07 A^3/atom
raw total energy: -11.4874 eV per atom